Entry 1:
# Li2ZnFe (PBE, relaxed)
# density	3.96	g/cm³
# D(E_F)	7.09	states/eV/cell
# E_form	85	meV/atom
# DFT total energy	-0.1215	hartree per atom
data_Li2ZnFe
_space_group_name_H-M_alt 'R 3 m'
_space_group_IT_number 160
_space_group_name_Hall 'R 3 -2"'
_cell_length_a 2.6551
_cell_length_b 2.6551
_cell_length_c 27.8343
_cell_angle_alpha 90.00
_cell_angle_beta 90.00
_cell_angle_gamma 120.00
loop_
_atom_site_label
_atom_site_type_symbol
_atom_site_fract_x
_atom_site_fract_y
_atom_site_fract_z
Li1 Li 0.0000 0.0000 0.0000
Li2 Li 0.0000 0.0000 0.2403
Zn1 Zn 0.0000 0.0000 0.4917
Fe1 Fe 0.0000 0.0000 0.7465

Entry 2:
# LiZnFe2 (PBE, relaxed)
# density	6.08	g/cm³
# D(E_F)	3.41	states/eV/cell
# E_form	153	meV/atom
# DFT total energy	-0.1792	hartree per atom
data_LiZnFe2
_space_group_name_H-M_alt 'I m m 2'
_space_group_IT_number 44
_cell_length_a 2.819
_cell_length_b 4.293
_cell_length_c 8.313
_cell_angle_alpha 90.00
_cell_angle_beta 90.00
_cell_angle_gamma 90.00
loop_
_space_group_symop_operation_xyz
'x,y,z'
'-x,-y,z'
'-x,y,z'
'x,-y,z'
'x+1/2,y+1/2,z+1/2'
'-x+1/2,-y+1/2,z+1/2'
'-x+1/2,y+1/2,z+1/2'
'x+1/2,-y+1/2,z+1/2'
loop_
_atom_site_label
_atom_site_type_symbol
_atom_site_fract_x
_atom_site_fract_y
_atom_site_fract_z
Li1 Li 0.000 0.000 0.000
Zn1 Zn 0.000 0.500 0.754
Fe1 Fe 0.000 0.000 0.513
Fe2 Fe 0.000 0.500 0.237

What did the first record say?
# Li2ZnFe (PBE, relaxed)
# density	3.96	g/cm³
# D(E_F)	7.09	states/eV/cell
# E_form	85	meV/atom
# DFT total energy	-0.1215	hartree per atom
data_Li2ZnFe
_space_group_name_H-M_alt 'R 3 m'
_space_group_IT_number 160
_space_group_name_Hall 'R 3 -2"'
_cell_length_a 2.6551
_cell_length_b 2.6551
_cell_length_c 27.8343
_cell_angle_alpha 90.00
_cell_angle_beta 90.00
_cell_angle_gamma 120.00
loop_
_atom_site_label
_atom_site_type_symbol
_atom_site_fract_x
_atom_site_fract_y
_atom_site_fract_z
Li1 Li 0.0000 0.0000 0.0000
Li2 Li 0.0000 0.0000 0.2403
Zn1 Zn 0.0000 0.0000 0.4917
Fe1 Fe 0.0000 0.0000 0.7465